(1)
# TaCoTc2

A geometry-optimized TaCoTc2 structure (GGA-PBE, Alexandria via LeMat-Bulk).

For the energy above the lowest structure with this stoichiometry, the calculation gives 47 meV/atom. Its total energy is -39.74 eV/cell. The calculation puts the energy relative to the elements at -0.1 eV per formula unit. The space-group type is Imm2.

Cell lengths 5.044, 5.044, 5.044 Å; angles 143.21, 129.53, 64.07 degrees
Fractional coordinates of all 4 atoms:
Tc  0.003  0.003  0.000
Ta  0.248  0.748  0.500
Co  0.494  0.494  0.000
Tc  0.755  0.255  0.500


(2)
# TaCo2Tc

A geometry-optimized TaCo2Tc structure (GGA-PBE, Alexandria via LeMat-Bulk).

For the energy above the lowest structure with this stoichiometry, the calculation gives 0 meV/atom. Its total energy is -37.01 eV/cell. The calculation puts the energy relative to the elements at -0.6 eV per formula unit. The space-group type is P4/mmm.

Cell lengths 3.778, 3.778, 3.702 Å; angles 90.00, 90.00, 90.00 degrees
Fractional coordinates of all 4 atoms:
Co  0.000  0.000  0.000
Ta  0.500  0.000  0.500
Co  0.500  0.500  0.000
Tc  0.000  0.500  0.500


(3)
# TaCo4Tc

A geometry-optimized TaCo4Tc structure (GGA-PBE, Alexandria via LeMat-Bulk).

Its total energy is -51.22 eV/cell. The calculation puts the energy relative to the elements at -0.6 eV per formula unit. The space-group type is F-43m.

Cell lengths 4.728, 4.728, 4.728 Å; angles 60.00, 60.00, 60.00 degrees
Fractional coordinates of all 6 atoms:
Co  0.625  0.625  0.125
Co  0.625  0.625  0.625
Co  0.125  0.625  0.625
Ta  0.250  0.250  0.250
Tc  0.000  0.000  0.000
Co  0.625  0.125  0.625


(4)
# TaCoTc3

A geometry-optimized TaCoTc3 structure (GGA-PBE, Alexandria via LeMat-Bulk).

For the energy above the lowest structure with this stoichiometry, the calculation gives 0 meV/atom. Its total energy is -44.44 eV/cell. The calculation puts the energy relative to the elements at 5.6 eV per formula unit. The space-group type is Pm-3m.

Cell lengths 4.374, 4.374, 4.374 Å; angles 90.00, 90.00, 90.00 degrees
Fractional coordinates of all 5 atoms:
Co  0.000  0.000  0.000
Tc  0.000  0.500  0.000
Tc  0.000  0.000  0.500
Tc  0.500  0.000  0.000
Ta  0.500  0.500  0.500


(5)
# TaCoTc2

A geometry-optimized TaCoTc2 structure (GGA-PBE, Alexandria via LeMat-Bulk).

For the energy above the lowest structure with this stoichiometry, the calculation gives 97 meV/atom. Its total energy is -39.54 eV/cell. The calculation puts the energy relative to the elements at 0.1 eV per formula unit. The space-group type is P4mm.

Cell lengths 2.755, 2.755, 7.620 Å; angles 90.00, 90.00, 90.00 degrees
Fractional coordinates of all 4 atoms:
Tc  0.000  0.000  0.018
Ta  0.500  0.500  0.734
Tc  0.500  0.500  0.263
Co  0.000  0.000  0.485


(6)
# TaCo2Tc

A geometry-optimized TaCo2Tc structure (GGA-PBE, Alexandria via LeMat-Bulk).

For the energy above the lowest structure with this stoichiometry, the calculation gives 383 meV/atom. Its total energy is -35.48 eV/cell. The calculation puts the energy relative to the elements at 1.0 eV per formula unit. The space-group type is R3m.

Cell lengths 8.805, 8.805, 8.805 Å; angles 17.79, 17.79, 17.79 degrees
Fractional coordinates of all 4 atoms:
Co  0.997  0.997  0.997
Co  0.256  0.256  0.256
Tc  0.742  0.742  0.742
Ta  0.505  0.505  0.505


(7)
# TaCoTc2

A geometry-optimized TaCoTc2 structure (GGA-PBE, Alexandria via LeMat-Bulk).

For the energy above the lowest structure with this stoichiometry, the calculation gives 126 meV/atom. Its total energy is -39.43 eV/cell. The calculation puts the energy relative to the elements at 0.3 eV per formula unit. The space-group type is P4/mmm.

Cell lengths 2.699, 2.699, 7.947 Å; angles 90.00, 90.00, 90.00 degrees
Fractional coordinates of all 4 atoms:
Co  0.500  0.500  0.250
Ta  0.500  0.500  0.750
Tc  0.000  0.000  0.033
Tc  0.000  0.000  0.467


(8)
# TaCoTc2

A geometry-optimized TaCoTc2 structure (GGA-PBE, Alexandria via LeMat-Bulk).

For the energy above the lowest structure with this stoichiometry, the calculation gives 41 meV/atom. Its total energy is -39.76 eV/cell. The calculation puts the energy relative to the elements at -0.1 eV per formula unit. The space-group type is P4mm.

Cell lengths 3.185, 3.185, 5.735 Å; angles 90.00, 90.00, 90.00 degrees
Fractional coordinates of all 4 atoms:
Ta  0.500  0.500  0.725
Co  0.000  0.000  0.510
Tc  0.500  0.500  0.251
Tc  0.000  0.000  0.015